Compound: CrPd2Se6
Source: Alexandria via LeMat-Bulk
Functional: PBE
Structure: optimized geometry

Geometry as POSCAR:
```
CrPd2Se6
1.0
3.8333 0.0000 0.0000
-1.9167 5.0286 -2.3287
0.0000 -1.3279 11.1700
Se Pd Cr
6 2 1
Direct
0.9900 0.9799 0.7185
0.6597 0.3194 0.0514
0.6730 0.3461 0.6089
0.0100 0.0201 0.2815
0.3403 0.6806 0.9486
0.3270 0.6539 0.3911
0.3332 0.6665 0.1700
0.6667 0.3335 0.8300
0.0000 0.0000 0.5000
```

Output
**Density of states at the Fermi level**: 2.3 states/eV/f.u.
**Calculated volume**: 203 Å³/f.u.
**ΔE_f (raw)**: -0.31 eV/atom
**DFT total energy**: -4.855 eV per atom

***

Compound: CrPdSe4
Source: Alexandria via LeMat-Bulk
Functional: PBE
Structure: optimized geometry

Geometry as POSCAR:
```
CrPdSe4
1.0
6.0583 0.0000 3.2169
-2.1432 6.0311 4.0363
0.0312 -0.0969 7.2544
Se Cr Pd
8 2 2
Direct
0.7600 0.2567 0.4866
0.2466 0.7355 0.0068
0.2466 0.2576 0.0068
0.7534 0.7424 0.9932
0.7534 0.2645 0.9932
0.2400 0.7433 0.5134
0.7466 0.7433 0.5134
0.2534 0.2567 0.4866
0.0000 0.5000 0.0000
0.5000 0.5000 0.0000
0.0000 0.0000 0.5000
0.0000 0.5000 0.5000
```

Output
**Density of states at the Fermi level**: 3.5 states/eV/f.u.
**Calculated volume**: 134 Å³/f.u.
**ΔE_f (raw)**: -0.33 eV/atom
**DFT total energy**: -5.119 eV per atom